1.
A plane-wave DFT calculation with GGA-PBE was carried out for a relaxed structure of Ba2NbSe3.

## Properties
electronic total energy	-5.37	eV per atom
space group	Immm

Unit cell a=4.410 b=5.070 c=16.825 alpha=90.00 beta=90.00 gamma=90.00
Fractional coordinates of all 12 atoms:
Ba 0.000 0.000 0.145
Ba 0.000 0.000 0.855
Ba 0.500 0.500 0.355
Ba 0.500 0.500 0.645
Nb 0.000 0.000 0.500
Nb 0.500 0.500 0.000
Se 0.000 0.000 0.342
Se 0.000 0.000 0.658
Se 0.000 0.500 0.500
Se 0.500 0.000 0.000
Se 0.500 0.500 0.158
Se 0.500 0.500 0.842

***

2.
A plane-wave DFT calculation with GGA-PBE was carried out for a relaxed structure of Ho6BeS5.

## Properties
electronic total energy	-5.99	eV per atom
space group	C2/m

Unit cell a=6.770 b=6.770 c=6.751 alpha=99.64 beta=99.64 gamma=119.86
Fractional coordinates of all 12 atoms:
Ho 0.081 0.404 0.743
Ho 0.242 0.242 0.256
Ho 0.404 0.081 0.743
Ho 0.596 0.919 0.257
Ho 0.758 0.758 0.744
Ho 0.919 0.596 0.257
Be 0.000 0.000 0.500
S 0.171 0.829 0.000
S 0.334 0.666 0.500
S 0.500 0.500 0.000
S 0.666 0.334 0.500
S 0.829 0.171 0.000

***

3.
A plane-wave DFT calculation with GGA-PBE was carried out for a relaxed structure of LaErMg2Au4.

## Properties
ΔH_f (0 K)	-763.0	meV per atom
space group	R-3m

Unit cell a=9.163 b=9.163 c=9.163 alpha=30.58 beta=30.58 gamma=30.58
Fractional coordinates of all 8 atoms:
La 0.000 0.000 0.000
Er 0.500 0.500 0.500
Mg 0.244 0.244 0.244
Mg 0.756 0.756 0.756
Au 0.123 0.123 0.123
Au 0.390 0.390 0.390
Au 0.610 0.610 0.610
Au 0.877 0.877 0.877

***

4.
A plane-wave DFT calculation with GGA-PBE was carried out for a relaxed structure of PrPaSbAu.

## Properties
electronic total energy	-5.85	eV per atom
space group	F-43m

Unit cell a=7.541 b=7.541 c=7.541 alpha=90.00 beta=90.00 gamma=90.00
Fractional coordinates of all 16 atoms:
Pr 0.000 0.000 0.000
Pr 0.000 0.500 0.500
Pr 0.500 0.000 0.500
Pr 0.500 0.500 0.000
Pa 0.000 0.000 0.500
Pa 0.000 0.500 0.000
Pa 0.500 0.000 0.000
Pa 0.500 0.500 0.500
Sb 0.250 0.250 0.250
Sb 0.250 0.750 0.750
Sb 0.750 0.250 0.750
Sb 0.750 0.750 0.250
Au 0.250 0.250 0.750
Au 0.250 0.750 0.250
Au 0.750 0.250 0.250
Au 0.750 0.750 0.750

***

5.
A plane-wave DFT calculation with GGA-PBE was carried out for a relaxed structure of CsPrHg4Bi2.

## Properties
ΔH_f (0 K)	-286.7	meV per atom
space group	P4/mmm

Unit cell a=4.437 b=4.437 c=14.476 alpha=90.00 beta=90.00 gamma=90.00
Fractional coordinates of all 8 atoms:
Cs 0.000 0.000 0.000
Pr 0.000 0.000 0.500
Hg 0.000 0.500 0.214
Hg 0.000 0.500 0.786
Hg 0.500 0.000 0.214
Hg 0.500 0.000 0.786
Bi 0.500 0.500 0.394
Bi 0.500 0.500 0.606

***

6.
A plane-wave DFT calculation with GGA-PBE was carried out for a relaxed structure of Ca5I3Cl12.

## Properties
electronic total energy	-3.36	eV per atom
space group	Ia-3d

Unit cell a=15.670 b=15.670 c=15.670 alpha=109.47 beta=109.47 gamma=109.47
Fractional coordinates of all 80 atoms:
Ca 0.000 0.000 0.000
Ca 0.000 0.000 0.500
Ca 0.000 0.500 0.000
Ca 0.000 0.500 0.500
Ca 0.125 0.750 0.875
Ca 0.125 0.875 0.250
Ca 0.250 0.125 0.875
Ca 0.250 0.625 0.375
Ca 0.375 0.250 0.625
Ca 0.375 0.625 0.750
Ca 0.500 0.000 0.000
Ca 0.500 0.000 0.500
Ca 0.500 0.500 0.000
Ca 0.500 0.500 0.500
Ca 0.625 0.375 0.250
Ca 0.625 0.750 0.375
Ca 0.750 0.375 0.625
Ca 0.750 0.875 0.125
Ca 0.875 0.125 0.750
Ca 0.875 0.250 0.125
I 0.125 0.250 0.375
I 0.125 0.375 0.750
I 0.250 0.375 0.125
I 0.250 0.875 0.625
I 0.375 0.125 0.250
I 0.375 0.750 0.125
I 0.625 0.250 0.875
I 0.625 0.875 0.750
I 0.750 0.125 0.375
I 0.750 0.625 0.875
I 0.875 0.625 0.250
I 0.875 0.750 0.625
Cl 0.004 0.178 0.120
Cl 0.004 0.326 0.884
Cl 0.058 0.678 0.674
Cl 0.058 0.880 0.384
Cl 0.116 0.620 0.442
Cl 0.116 0.996 0.674
Cl 0.120 0.004 0.178
Cl 0.120 0.616 0.942
Cl 0.174 0.178 0.558
Cl 0.174 0.496 0.616
Cl 0.178 0.120 0.004
Cl 0.178 0.558 0.174
Cl 0.322 0.326 0.942
Cl 0.322 0.496 0.380
Cl 0.326 0.884 0.004
Cl 0.326 0.942 0.322
Cl 0.380 0.322 0.496
Cl 0.380 0.558 0.884
Cl 0.384 0.058 0.880
Cl 0.384 0.826 0.504
Cl 0.442 0.116 0.620
Cl 0.442 0.826 0.822
Cl 0.496 0.380 0.322
Cl 0.496 0.616 0.174
Cl 0.504 0.384 0.826
Cl 0.504 0.620 0.678
Cl 0.558 0.174 0.178
Cl 0.558 0.884 0.380
Cl 0.616 0.174 0.496
Cl 0.616 0.942 0.120
Cl 0.620 0.442 0.116
Cl 0.620 0.678 0.504
Cl 0.674 0.058 0.678
Cl 0.674 0.116 0.996
Cl 0.678 0.504 0.620
Cl 0.678 0.674 0.058
Cl 0.822 0.442 0.826
Cl 0.822 0.880 0.996
Cl 0.826 0.504 0.384
Cl 0.826 0.822 0.442
Cl 0.880 0.384 0.058
Cl 0.880 0.996 0.822
Cl 0.884 0.004 0.326
Cl 0.884 0.380 0.558
Cl 0.942 0.120 0.616
Cl 0.942 0.322 0.326
Cl 0.996 0.674 0.116
Cl 0.996 0.822 0.880

***

7.
A plane-wave DFT calculation with GGA-PBE was carried out for a relaxed structure of Tl2CdPb12.

## Properties
ΔH_f (0 K)	95.2	meV per atom
space group	P4/nbm

Unit cell a=6.742 b=6.742 c=22.535 alpha=90.00 beta=90.00 gamma=90.00
Fractional coordinates of all 30 atoms:
Tl 0.250 0.750 0.228
Tl 0.250 0.750 0.772
Tl 0.750 0.250 0.228
Tl 0.750 0.250 0.772
Cd 0.250 0.750 0.500
Cd 0.750 0.250 0.500
Pb 0.000 0.000 0.408
Pb 0.000 0.000 0.592
Pb 0.000 0.500 0.408
Pb 0.000 0.500 0.592
Pb 0.064 0.564 0.068
Pb 0.064 0.936 0.932
Pb 0.250 0.250 0.167
Pb 0.250 0.250 0.309
Pb 0.250 0.250 0.691
Pb 0.250 0.250 0.833
Pb 0.436 0.564 0.932
Pb 0.436 0.936 0.068
Pb 0.500 0.000 0.408
Pb 0.500 0.000 0.592
Pb 0.500 0.500 0.408
Pb 0.500 0.500 0.592
Pb 0.564 0.064 0.932
Pb 0.564 0.436 0.068
Pb 0.750 0.750 0.167
Pb 0.750 0.750 0.309
Pb 0.750 0.750 0.691
Pb 0.750 0.750 0.833
Pb 0.936 0.064 0.068
Pb 0.936 0.436 0.932

***

8.
A plane-wave DFT calculation with GGA-PBE was carried out for a relaxed structure of SnPO3F.

## Properties
electronic total energy	-6.45	eV per atom
space group	P2_1/c

Unit cell a=4.805 b=13.177 c=6.529 alpha=90.00 beta=101.57 gamma=90.00
Fractional coordinates of all 24 atoms:
Sn 0.039 0.135 0.308
Sn 0.039 0.365 0.808
Sn 0.961 0.635 0.192
Sn 0.961 0.865 0.692
P 0.368 0.647 0.819
P 0.368 0.853 0.319
P 0.632 0.147 0.681
P 0.632 0.353 0.181
O 0.176 0.721 0.674
O 0.176 0.779 0.174
O 0.220 0.585 0.965
O 0.220 0.915 0.465
O 0.349 0.194 0.575
O 0.349 0.306 0.075
O 0.651 0.694 0.925
O 0.651 0.806 0.425
O 0.780 0.085 0.535
O 0.780 0.415 0.035
O 0.824 0.221 0.826
O 0.824 0.279 0.326
F 0.446 0.564 0.662
F 0.446 0.936 0.162
F 0.554 0.064 0.838
F 0.554 0.436 0.338